The following is a DFT calculation (PBE-GGA) of a relaxed structure of CeYSeO2.

Unit cell a=3.895 b=3.895 c=12.319 alpha=90.00 beta=90.00 gamma=90.00
Space group I4mm (No. 107)
Asymmetric unit:
Ce 0.000 0.000 0.000 [2 per cell]
Y 0.000 0.000 0.694 [2 per cell]
Se 0.000 0.000 0.347 [2 per cell]
O 0.000 0.500 0.102 [4 per cell]

N(E_F), states/eV/cell: 11.69
Total magnetization, Bohr magnetons per cell: 2.003
Energy relative to the elements, uncorrected, eV per atom: -2.97